{
  "formula": "CuSiNiAu",
  "functional": "PBE",
  "state": "relaxed",
  "cell": [[-3.171, -2.698, -0.777], [-3.516, 0.129, 2.357], [-3.622, 1.416, -1.677]],
  "species": ["Au", "Cu", "Ni", "Si"],
  "frac_coords": [[0.250, 0.250, 0.250], [0.750, 0.750, 0.750], [0.500, 0.500, 0.500], [0.000, 0.000, 0.000]],
  "total_energy_ev_per_cell": -17.730,
  "mass_density_g_cm3": 10.738,
  "de_polymorph_mev_per_atom": 65,
  "vol_a3_per_atom": 13.43
}



{
  "formula": "NaErSO",
  "functional": "PBE",
  "state": "relaxed",
  "cell": [[5.469, 0.000, -0.641], [0.000, 5.510, 0.000], [-1.513, 0.000, 10.248]],
  "species": ["Er", "Er", "Er", "Er", "Na", "Na", "Na", "Na", "O", "O", "O", "O", "S", "S", "S", "S"],
  "frac_coords": [[0.551, 0.357, 0.107], [0.052, 0.857, 0.107], [0.948, 0.357, 0.893], [0.449, 0.857, 0.893], [0.446, 0.619, 0.404], [0.952, 0.120, 0.404], [0.048, 0.620, 0.596], [0.554, 0.119, 0.596], [0.750, 0.606, 0.000], [0.750, 0.107, 0.000], [0.250, 0.607, 0.000], [0.250, 0.106, 0.000], [0.898, 0.617, 0.314], [0.400, 0.118, 0.314], [0.600, 0.618, 0.686], [0.102, 0.117, 0.686]],
  "total_energy_ev_per_cell": -97.179,
  "mass_density_g_cm3": 5.216,
  "de_polymorph_mev_per_atom": 5,
  "vol_a3_per_atom": 18.97
}



{
  "formula": "SmTlHgTe3",
  "functional": "PBE",
  "state": "relaxed",
  "cell": [[-6.576, -10.646, -8.749], [3.985, -0.865, -1.942], [2.279, -8.285, 8.368]],
  "species": ["Hg", "Hg", "Hg", "Hg", "Sm", "Sm", "Sm", "Sm", "Te", "Te", "Te", "Te", "Te", "Te", "Te", "Te", "Te", "Te", "Te", "Te", "Tl", "Tl", "Tl", "Tl"],
  "frac_coords": [[0.980, 0.250, 0.109], [0.480, 0.250, 0.391], [0.520, 0.750, 0.609], [0.020, 0.750, 0.891], [0.473, 0.750, 0.158], [0.973, 0.750, 0.342], [0.027, 0.250, 0.658], [0.527, 0.250, 0.842], [0.603, 0.250, 0.081], [0.099, 0.750, 0.122], [0.340, 0.250, 0.235], [0.840, 0.250, 0.265], [0.599, 0.750, 0.378], [0.103, 0.250, 0.419], [0.897, 0.750, 0.581], [0.401, 0.250, 0.622], [0.160, 0.750, 0.735], [0.660, 0.750, 0.765], [0.901, 0.250, 0.878], [0.397, 0.750, 0.919], [0.762, 0.750, 0.049], [0.262, 0.750, 0.451], [0.738, 0.250, 0.549], [0.238, 0.250, 0.951]],
  "total_energy_ev_per_cell": -84.477,
  "mass_density_g_cm3": 7.534,
  "de_polymorph_mev_per_atom": 17,
  "vol_a3_per_atom": 34.46
}